# 1
10
Lattice="-6.485 -2.175 -4.935 5.225 -4.444 -4.908 -0.621 -3.178 2.217" Properties=species:S:1:pos:R:3 comment="Ca2Zn2I PBE relaxed" e_form_raw_mev_per_atom=-366 space_group="P4/mbm (127)" vol_a3_per_atom=27.91 energy_ev_per_cell=-19.9 pbc="T T T"
Zn 1.341 -1.975 -2.457
I -0.630 -3.309 -4.921
I 0.000 0.000 0.000
Ca -0.435 -6.712 -6.271
Ca 2.075 -5.002 -3.117
Zn -3.379 -1.806 -3.536
Zn 2.119 -4.812 -6.306
Ca -3.956 -4.795 -4.509
Ca -1.446 -3.085 -1.354
Zn -2.600 -4.643 -7.385

---

# 2
5
Lattice="5.545 0.000 0.000 0.000 5.545 0.000 0.000 0.000 5.545" Properties=species:S:1:pos:R:3 comment="CaZn3I PBE relaxed" e_form_raw_mev_per_atom=577 space_group="Pm-3m (221)" vol_a3_per_atom=34.11 energy_ev_per_cell=-4.5 pbc="T T T"
Zn 0.000 0.000 2.773
Zn 2.773 0.000 0.000
Ca 2.773 2.773 2.773
Zn 0.000 2.773 0.000
I 0.000 0.000 0.000

---

no.,DOS(E_F) (states/eV/f.u.)
1,3.13
2,3.79